DFT (PBE-GGA) results for a geometry-optimized NaLiCaAu structure.

Summary:
The magnetic moment comes out at 0.00 μB per cell. The value obtained for the calculated total energy is -2.430 eV/atom. As for the symmetry: No. 216.

a b c (Å): 5.099 5.099 5.099
angles (deg): 60.00 60.00 60.00
Fractional coordinates of all 4 atoms:
Na 0.500 0.500 0.500
Ca 0.750 0.750 0.750
Au 0.000 0.000 0.000
Li 0.250 0.250 0.250

=====

DFT (PBE-GGA) results for a geometry-optimized NaLiCa2Au4 structure.

Summary:
The magnetic moment comes out at 0.00 μB per cell. The value obtained for the calculated total energy is -3.149 eV/atom. As for the symmetry: No. 166.

a b c (Å): 4.993 4.993 8.610
angles (deg): 73.15 73.15 60.00
Fractional coordinates of all 8 atoms:
Na 0.000 0.000 0.000
Li 0.500 0.500 0.500
Ca 0.750 0.750 0.751
Ca 0.250 0.250 0.249
Au 0.381 0.381 0.858
Au 0.872 0.872 0.384
Au 0.128 0.128 0.616
Au 0.619 0.619 0.142

=====

DFT (PBE-GGA) results for a geometry-optimized NaLi2CaAu2 structure.

Summary:
The magnetic moment comes out at 0.00 μB per cell. The value obtained for the calculated total energy is -2.747 eV/atom. As for the symmetry: No. 164.

a b c (Å): 4.576 4.576 7.022
angles (deg): 90.00 90.00 120.00
Fractional coordinates of all 6 atoms:
Na 0.000 0.000 0.000
Li 0.333 0.667 0.829
Li 0.667 0.333 0.171
Ca 0.000 0.000 0.500
Au 0.333 0.667 0.248
Au 0.667 0.333 0.752

=====

DFT (PBE-GGA) results for a geometry-optimized LiCa2Nd2Au4 structure.

Summary:
The magnetic moment comes out at 0.00 μB per cell. The value obtained for the calculated total energy is -3.673 eV/atom. As for the symmetry: No. 139.

a b c (Å): 6.632 6.632 6.632
angles (deg): 99.74 114.54 114.54
Fractional coordinates of all 9 atoms:
Li 0.000 0.000 0.000
Ca 0.500 0.750 0.250
Ca 0.500 0.250 0.750
Nd 0.000 0.690 0.690
Nd 0.000 0.310 0.310
Au 0.000 0.756 0.244
Au 0.511 0.756 0.756
Au 0.000 0.244 0.756
Au 0.489 0.244 0.244

=====

DFT (PBE-GGA) results for a geometry-optimized Li2CaNdAu2 structure.

Summary:
The magnetic moment comes out at 0.00 μB per cell. The value obtained for the calculated total energy is -3.387 eV/atom. As for the symmetry: No. 164.

a b c (Å): 4.572 4.572 7.526
angles (deg): 90.00 90.00 120.00
Fractional coordinates of all 6 atoms:
Li 0.333 0.667 0.733
Li 0.667 0.333 0.267
Ca 0.000 0.000 0.500
Nd 0.000 0.000 0.000
Au 0.333 0.667 0.245
Au 0.667 0.333 0.755

=====

DFT (PBE-GGA) results for a geometry-optimized LiCaNdAu structure.

Summary:
The magnetic moment comes out at 0.00 μB per cell. The value obtained for the calculated total energy is -3.386 eV/atom. As for the symmetry: No. 216.

a b c (Å): 5.235 5.235 5.235
angles (deg): 60.00 60.00 60.00
Fractional coordinates of all 4 atoms:
Nd 0.750 0.750 0.750
Ca 0.250 0.250 0.250
Au 0.500 0.500 0.500
Li 0.000 0.000 0.000

=====

DFT (PBE-GGA) results for a geometry-optimized Li2CaNdAu4 structure.

Summary:
The magnetic moment comes out at 0.00 μB per cell. The value obtained for the calculated total energy is -3.638 eV/atom. As for the symmetry: No. 166.

a b c (Å): 4.602 4.602 9.825
angles (deg): 76.46 76.46 60.00
Fractional coordinates of all 8 atoms:
Li 0.753 0.753 0.742
Li 0.247 0.247 0.258
Ca 0.500 0.500 0.500
Nd 0.000 0.000 0.000
Au 0.391 0.391 0.826
Au 0.891 0.891 0.326
Au 0.109 0.109 0.674
Au 0.609 0.609 0.174

=====

DFT (PBE-GGA) results for a geometry-optimized LiCaNd2Au4 structure.

Summary:
The magnetic moment comes out at 0.00 μB per cell. The value obtained for the calculated total energy is -4.048 eV/atom. As for the symmetry: No. 166.

a b c (Å): 5.109 5.109 8.813
angles (deg): 73.15 73.15 60.00
Fractional coordinates of all 8 atoms:
Li 0.500 0.500 0.500
Ca 0.000 0.000 0.000
Nd 0.754 0.754 0.737
Nd 0.246 0.246 0.263
Au 0.375 0.375 0.875
Au 0.876 0.876 0.371
Au 0.124 0.124 0.629
Au 0.625 0.625 0.125

=====

no.,DOS(E_F) (states/eV per atom)
1,0.356
2,0.374
3,0.358
4,0.700
5,0.915
6,0.706
7,0.582
8,0.584